# GGA-PBE Nd3Hf5Sc12, optimized geometry
# Energy of formation from the pure elements ... 1.296 eV per atom
# Electronic total energy ... -5.707 eV per atom
# Crystal system ... cubic
data_Nd3Hf5Sc12
_chemical_formula_sum 'Nd24 Hf40 Sc96'
_space_group_name_H-M_alt 'I a -3 d'
_space_group_IT_number 230
_space_group_name_Hall '-I 4bd 2c 3'
_cell_length_a 17.4921
_cell_length_b 17.4921
_cell_length_c 17.4921
_cell_angle_alpha 90.00
_cell_angle_beta 90.00
_cell_angle_gamma 90.00
loop_
_atom_site_label
_atom_site_fract_x
_atom_site_fract_y
_atom_site_fract_z
_atom_site_occupancy
Nd1 0.0000 0.2500 0.1250 1
Hf1 0.0000 0.0000 0.0000 1
Hf2 0.0000 0.2500 0.3750 1
Sc1 0.0628 0.1156 0.9278 1